# 1
First-principles (PBE) data for a relaxed Li2LaScNi2Sn2 crystal, as listed in OQMD.

Summary:
* total DFT energy (no corrections): -38.48 eV per cell
* theoretical density: 6.50 g/cm3

abc: 4.6378 4.6378 6.5608
angles: 90.00 90.00 90.00
Sites, in units of the cell vectors:
Sn 0.0000 0.0000 0.0000
Sn 0.5000 0.5000 0.5000
Li 0.0000 0.5000 0.2685
Li 0.5000 0.0000 0.7315
Sc 0.0000 0.0000 0.5000
Ni 0.5000 0.0000 0.2704
Ni 0.0000 0.5000 0.7296
La 0.5000 0.5000 0.0000


# 2
First-principles (PBE) data for a relaxed GdErCSe crystal, as listed in OQMD.

Summary:
* total DFT energy (no corrections): -52.97 eV per cell
* theoretical density: 8.47 g/cm3

abc: 3.7618 3.7618 13.2912
angles: 90.00 90.00 120.00
Sites, in units of the cell vectors:
Gd 0.3333 0.6667 0.6521
Gd 0.3333 0.6667 0.3479
C 0.0000 0.0000 0.2448
C 0.0000 0.0000 0.7552
Er 0.6667 0.3333 0.1471
Er 0.6667 0.3333 0.8529
Se 0.6667 0.3333 0.5000
Se 0.3333 0.6667 0.0000


# 3
First-principles (PBE) data for a relaxed PaSbW crystal, as listed in OQMD.

Summary:
* E above lowest polymorph: 0.000 eV per atom
* total DFT energy (no corrections): -25.53 eV per cell
* theoretical density: 12.05 g/cm3

abc: 4.7113 4.7113 4.7113
angles: 60.00 60.00 60.00
Each line ends with the local moment (μB).
Sites, in units of the cell vectors:
W 0.0000 0.0000 0.0000  0.50
Sb 0.7500 0.7500 0.7500  0.02
Pa 0.2500 0.2500 0.2500  0.54


# 4
First-principles (PBE) data for a relaxed Li2NbTe crystal, as listed in OQMD.

Summary:
* total DFT energy (no corrections): -16.72 eV per cell
* theoretical density: 5.60 g/cm3

abc: 4.6139 4.6139 4.6139
angles: 60.00 60.00 60.00
Each line ends with the local moment (μB).
Sites, in units of the cell vectors:
Te 0.5000 0.5000 0.5000  0.00
Li 0.2500 0.2500 0.2500  0.00
Li 0.0000 0.0000 0.0000  -0.01
Nb 0.7500 0.7500 0.7500  0.33


# 5
First-principles (PBE) data for a relaxed Nd3Y3NiTe2 crystal, as listed in OQMD.

Summary:
* E above lowest polymorph: 0.074 eV per atom
* total DFT energy (no corrections): -51.58 eV per cell
* theoretical density: 6.69 g/cm3

abc: 8.6114 8.6114 3.9137
angles: 90.00 90.00 120.00
Sites, in units of the cell vectors:
Ni 0.0000 0.0000 0.0000
Y 0.5905 0.5905 0.0000
Y 0.0000 0.4095 0.0000
Y 0.4095 0.0000 0.0000
Nd 0.0000 0.7582 0.5000
Nd 0.7582 0.0000 0.5000
Nd 0.2418 0.2418 0.5000
Te 0.3333 0.6667 0.5000
Te 0.6667 0.3333 0.5000


# 6
First-principles (PBE) data for a relaxed ZnFeGeAu crystal, as listed in OQMD.

Summary:
* E above lowest polymorph: 0.000 eV per atom
* total DFT energy (no corrections): -16.89 eV per cell
* theoretical density: 10.69 g/cm3

abc: 4.4113 4.4113 4.4113
angles: 60.00 60.00 60.00
Sites, in units of the cell vectors:
Ge 0.0000 0.0000 0.0000
Zn 0.5000 0.5000 0.5000
Au 0.2500 0.2500 0.2500
Fe 0.7500 0.7500 0.7500


# 7
First-principles (PBE) data for a relaxed ScCdAsO crystal, as listed in OQMD.

Summary:
* total DFT energy (no corrections): -45.27 eV per cell
* theoretical density: 5.38 g/cm3

abc: 3.8739 6.3318 6.2498
angles: 90.00 90.00 90.00
Sites, in units of the cell vectors:
O 0.5000 0.2897 0.3576
O 0.5000 0.7103 0.8576
Cd 0.0000 0.8930 0.9468
Cd 0.0000 0.1070 0.4468
As 0.0000 0.7094 0.3476
As 0.0000 0.2906 0.8476
Sc 0.5000 0.5120 0.6020
Sc 0.5000 0.4880 0.1020


# 8
First-principles (PBE) data for a relaxed Rb2DyInO4 crystal, as listed in OQMD.

Summary:
* total DFT energy (no corrections): -45.76 eV per cell
* theoretical density: 6.59 g/cm3

abc: 3.4132 3.4132 12.7965
angles: 90.00 90.00 120.00
Sites, in units of the cell vectors:
O 0.3333 0.6667 0.4086
O 0.3333 0.6667 0.0874
O 0.6667 0.3333 0.9126
O 0.6667 0.3333 0.5914
Dy 0.0000 0.0000 0.5000
Rb 0.3333 0.6667 0.7547
Rb 0.6667 0.3333 0.2453
In 0.0000 0.0000 0.0000


# 9
First-principles (PBE) data for a relaxed HoCuB4 crystal, as listed in OQMD.

Summary:
* E above lowest polymorph: 0.022 eV per atom
* total DFT energy (no corrections): -35.70 eV per cell
* theoretical density: 7.16 g/cm3

abc: 4.8758 4.8758 4.8758
angles: 142.24 114.49 78.16
Sites, in units of the cell vectors:
B 0.0823 0.7606 0.3217
B 0.5611 0.2394 0.3217
B 0.9177 0.2394 0.6783
B 0.4389 0.7606 0.6783
Cu 0.0000 0.0000 0.0000
Ho 0.5000 0.5000 0.0000


# 10
First-principles (PBE) data for a relaxed ZnTc2B crystal, as listed in OQMD.

Summary:
* total DFT energy (no corrections): -26.57 eV per cell
* theoretical density: 8.99 g/cm3

abc: 4.1431 4.1431 4.1431
angles: 60.00 60.00 60.00
Sites, in units of the cell vectors:
Tc 0.7500 0.7500 0.7500
Tc 0.0000 0.0000 0.0000
Zn 0.2500 0.2500 0.2500
B 0.5000 0.5000 0.5000


# 11
First-principles (PBE) data for a relaxed CsTbTeSe crystal, as listed in OQMD.

Summary:
* total DFT energy (no corrections): -36.62 eV per cell
* theoretical density: 5.68 g/cm3

abc: 4.4089 4.4089 17.3047
angles: 90.00 90.00 120.00
Sites, in units of the cell vectors:
Te 0.6667 0.3333 0.8982
Te 0.3333 0.6667 0.1018
Tb 0.0000 0.0000 0.0000
Tb 0.0000 0.0000 0.5000
Se 0.6667 0.3333 0.5870
Se 0.3333 0.6667 0.4130
Cs 0.6667 0.3333 0.2626
Cs 0.3333 0.6667 0.7374


# 12
First-principles (PBE) data for a relaxed CoReBIr crystal, as listed in OQMD.

Summary:
* E above lowest polymorph: 0.000 eV per atom
* total DFT energy (no corrections): -32.82 eV per cell
* theoretical density: 15.30 g/cm3

abc: 4.0978 4.0978 4.0978
angles: 60.00 60.00 60.00
Each line ends with the local moment (μB).
Sites, in units of the cell vectors:
Re 0.2500 0.2500 0.2500  -0.13
Ir 0.5000 0.5000 0.5000  0.03
B 0.0000 0.0000 0.0000  -0.02
Co 0.7500 0.7500 0.7500  0.68


# 13
First-principles (PBE) data for a relaxed TmZn crystal, as listed in OQMD.

Summary:
* total DFT energy (no corrections): -37.09 eV per cell
* ΔH_f (0 K): -0.2208 eV per atom
* theoretical density: 8.89 g/cm3

abc: 6.1345 9.0364 4.7364
angles: 90.00 90.00 90.00
Sites, in units of the cell vectors:
Zn 0.8508 0.7608 0.5000
Zn 0.3508 0.0725 0.5000
Zn 0.4540 0.5550 0.0000
Zn 0.1471 0.9502 0.0000
Zn 0.6472 0.8832 0.0000
Zn 0.9540 0.2783 0.0000
Tm 0.9861 0.6275 0.0000
Tm 0.6983 0.4450 0.5000
Tm 0.1983 0.3884 0.5000
Tm 0.8635 0.0700 0.5000
Tm 0.3636 0.7633 0.5000
Tm 0.4861 0.2059 0.0000


# 14
First-principles (PBE) data for a relaxed Nd2F crystal, as listed in OQMD.

Summary:
* E above lowest polymorph: 0.000 eV per atom
* total DFT energy (no corrections): -14.17 eV per cell
* theoretical density: 7.43 g/cm3

abc: 4.5976 4.5976 4.5976
angles: 60.00 60.00 60.00
Sites, in units of the cell vectors:
Nd 0.2500 0.2500 0.2500
Nd 0.7500 0.7500 0.7500
F 0.0000 0.0000 0.0000


# 15
First-principles (PBE) data for a relaxed Zr2BeOs crystal, as listed in OQMD.

Summary:
* total DFT energy (no corrections): -32.16 eV per cell
* theoretical density: 9.63 g/cm3

abc: 4.5320 4.5320 4.5320
angles: 60.00 60.00 60.00
Sites, in units of the cell vectors:
Zr 0.0000 0.0000 0.0000
Zr 0.7500 0.7500 0.7500
Os 0.2500 0.2500 0.2500
Be 0.5000 0.5000 0.5000


# 16
First-principles (PBE) data for a relaxed SrErTe3Au crystal, as listed in OQMD.

Summary:
* total DFT energy (no corrections): -103.19 eV per cell
* theoretical density: 7.73 g/cm3

abc: 4.4593 12.1076 13.2862
angles: 90.00 90.00 90.00
Sites, in units of the cell vectors:
Te 0.7500 0.0554 0.6060
Te 0.7500 0.3596 0.4680
Te 0.7500 0.8214 0.8055
Te 0.2500 0.8596 0.0320
Te 0.2500 0.6404 0.5320
Te 0.2500 0.3214 0.6945
Te 0.7500 0.6786 0.3055
Te 0.7500 0.1404 0.9680
Te 0.7500 0.4446 0.1060
Te 0.2500 0.5554 0.8940
Te 0.2500 0.1786 0.1945
Te 0.2500 0.9446 0.3940
Au 0.2500 0.7264 0.1963
Au 0.7500 0.2736 0.8037
Au 0.2500 0.7736 0.6963
Au 0.7500 0.2264 0.3037
Er 0.7500 0.6794 0.0129
Er 0.7500 0.8206 0.5129
Er 0.2500 0.1794 0.4871
Er 0.2500 0.3206 0.9871
Sr 0.7500 0.5401 0.7066
Sr 0.2500 0.4599 0.2934
Sr 0.7500 0.9599 0.2066
Sr 0.2500 0.0401 0.7934


# 17
First-principles (PBE) data for a relaxed TlCoOsAu crystal, as listed in OQMD.

Summary:
* E above lowest polymorph: 0.000 eV per atom
* total DFT energy (no corrections): -20.74 eV per cell
* theoretical density: 16.37 g/cm3

abc: 4.5357 4.5357 4.5357
angles: 60.00 60.00 60.00
Sites, in units of the cell vectors:
Co 0.7500 0.7500 0.7500
Au 0.5000 0.5000 0.5000
Tl 0.0000 0.0000 0.0000
Os 0.2500 0.2500 0.2500


# 18
First-principles (PBE) data for a relaxed Nb2SiIr crystal, as listed in OQMD.

Summary:
* total DFT energy (no corrections): -35.31 eV per cell
* theoretical density: 10.69 g/cm3

abc: 4.4688 4.4688 4.4688
angles: 60.00 60.00 60.00
Sites, in units of the cell vectors:
Nb 0.0000 0.0000 0.0000
Nb 0.7500 0.7500 0.7500
Si 0.5000 0.5000 0.5000
Ir 0.2500 0.2500 0.2500


# 19
First-principles (PBE) data for a relaxed CsDyIr crystal, as listed in OQMD.

Summary:
* total DFT energy (no corrections): -12.88 eV per cell
* theoretical density: 8.93 g/cm3

abc: 5.0419 5.0419 5.0419
angles: 60.00 60.00 60.00
Sites, in units of the cell vectors:
Ir 0.0000 0.0000 0.0000
Dy 0.2500 0.2500 0.2500
Cs 0.7500 0.7500 0.7500


# 20
First-principles (PBE) data for a relaxed HgPbSO crystal, as listed in OQMD.

Summary:
* E above lowest polymorph: 0.000 eV per atom
* total DFT energy (no corrections): -30.31 eV per cell
* theoretical density: 8.48 g/cm3

abc: 3.9911 3.9910 12.9349
angles: 90.00 90.00 120.00
Sites, in units of the cell vectors:
Hg 0.0000 0.0000 0.5020
Hg 0.0000 0.0000 0.0020
Pb 0.3332 0.6664 0.2639
Pb 0.6668 0.3336 0.7639
S 0.3333 0.6667 0.5931
S 0.6667 0.3333 0.0931
O 0.0001 0.0002 0.8287
O 0.9999 0.9998 0.3287


# 21
First-principles (PBE) data for a relaxed DyHoHg crystal, as listed in OQMD.

Summary:
* E above lowest polymorph: 0.000 eV per atom
* total DFT energy (no corrections): -42.27 eV per cell
* ΔH_f (0 K): -0.3638 eV per atom
* theoretical density: 10.68 g/cm3

abc: 7.0368 5.0803 9.1826
angles: 90.00 90.00 90.00
Sites, in units of the cell vectors:
Dy 0.0155 0.2500 0.8056
Dy 0.9845 0.7500 0.1944
Dy 0.4845 0.7500 0.3056
Dy 0.5155 0.2500 0.6944
Ho 0.1692 0.2500 0.4248
Ho 0.3308 0.7500 0.9248
Ho 0.8308 0.7500 0.5752
Ho 0.6692 0.2500 0.0752
Hg 0.7620 0.7500 0.8992
Hg 0.2380 0.2500 0.1008
Hg 0.2620 0.7500 0.6008
Hg 0.7380 0.2500 0.3992


# 22
First-principles (PBE) data for a relaxed NbHgSeO crystal, as listed in OQMD.

Summary:
* E above lowest polymorph: 0.000 eV per atom
* total DFT energy (no corrections): -46.01 eV per cell
* theoretical density: 6.99 g/cm3

abc: 3.2949 7.6049 7.3636
angles: 90.00 90.00 90.00
Sites, in units of the cell vectors:
Hg 0.0000 0.7238 0.5568
Hg 0.0000 0.2762 0.0568
O 0.5000 0.0032 0.3094
O 0.5000 0.9968 0.8094
Se 0.0000 0.3288 0.5641
Se 0.0000 0.6712 0.0641
Nb 0.5000 0.9227 0.0606
Nb 0.5000 0.0773 0.5606


# 23
First-principles (PBE) data for a relaxed SnAsIr crystal, as listed in OQMD.

Summary:
* E above lowest polymorph: 0.000 eV per atom
* total DFT energy (no corrections): -18.01 eV per cell
* theoretical density: 10.50 g/cm3

abc: 4.4189 4.4189 4.4189
angles: 60.00 60.00 60.00
Sites, in units of the cell vectors:
As 0.2500 0.2500 0.2500
Sn 0.7500 0.7500 0.7500
Ir 0.0000 0.0000 0.0000


# 24
First-principles (PBE) data for a relaxed GdSn3 crystal, as listed in OQMD.

Summary:
* total DFT energy (no corrections): -36.43 eV per cell
* theoretical density: 7.86 g/cm3

abc: 4.4298 4.4491 11.2316
angles: 78.58 90.00 90.00
Sites, in units of the cell vectors:
Sn 0.0000 0.6382 0.7237
Sn 0.5000 0.9012 0.1977
Sn 0.0000 0.0251 0.9498
Sn 0.5000 0.1339 0.7322
Sn 0.0000 0.4014 0.1971
Sn 0.5000 0.2682 0.4635
Gd 0.0000 0.7888 0.4223
Gd 0.5000 0.5172 0.9656


# 25
First-principles (PBE) data for a relaxed SrScAuS3 crystal, as listed in OQMD.

Summary:
* E above lowest polymorph: 0.038 eV per atom
* total DFT energy (no corrections): -64.36 eV per cell
* theoretical density: 5.45 g/cm3

abc: 10.0476 6.8697 6.8697
angles: 146.84 90.00 90.00
Sites, in units of the cell vectors:
Au 0.2500 0.5434 0.4566
Au 0.7500 0.4566 0.5434
S 0.2500 0.9176 0.0824
S 0.7500 0.0824 0.9176
S 0.4595 0.6349 0.3651
S 0.0405 0.6349 0.3651
S 0.9595 0.3651 0.6349
S 0.5405 0.3651 0.6349
Sc 0.5000 0.0000 0.0000
Sc 0.0000 0.0000 0.0000
Sr 0.7500 0.7498 0.2502
Sr 0.2500 0.2502 0.7498